ZrTaH2Os | PBE | optimized geometry

As for the uncorrected energy: -8.070 eV per atom.

Cell: 3.103 3.103 12.358 Å, 90.00 90.00 90.00°
Space group I4mm (No. 107)
Asymmetric unit:
Zr: 0.000 0.000 0.000 (multiplicity 2)
Ta: 0.000 0.000 0.278 (multiplicity 2)
H: 0.000 0.500 0.382 (multiplicity 4)
Os: 0.000 0.000 0.651 (multiplicity 2)